The following is a PBE calculation of CaAlCd2Au4 after structural relaxation, from Alexandria.

Results
* ΔE_f: -0.3904 eV per atom
* E_tot: -2.98 eV/atom

Unit cell a=4.7869 b=4.7869 c=8.5192 alpha=73.68 beta=73.68 gamma=60.00
Positions (direct):
Au  0.3917  0.3917  0.8249
Au  0.1337  0.1337  0.5990
Au  0.6083  0.6083  0.1751
Au  0.8663  0.8663  0.4010
Cd  0.2553  0.2553  0.2340
Cd  0.7447  0.7447  0.7660
Al  0.5000  0.5000  0.5000
Ca  0.0000  0.0000  0.0000